# 1
# Sm2Dy2Y2Tm | the Alexandria database | PBE | optimized geometry
# calculated total energy = -5.01 eV per atom
# formation enthalpy at 0 K = 140 meV/atom
# N(E_F) = 18.410 states/eV/f.u.
data_Sm2Dy2Y2Tm
_chemical_formula_sum 'Sm6 Dy6 Y6 Tm3'
_symmetry_space_group_name_H-M 'R -3 m'
_symmetry_Int_Tables_number 166
_symmetry_space_group_name_Hall '-R 3 2"'
_cell_length_a 5.6817
_cell_length_b 5.6817
_cell_length_c 24.5038
_cell_angle_alpha 90.00
_cell_angle_beta 90.00
_cell_angle_gamma 120.00
loop_
_atom_site_label
_atom_site_fract_x
_atom_site_fract_y
_atom_site_fract_z
Sm1 0.0000 0.0000 0.1395
Dy1 0.0000 0.0000 0.4273
Y1 0.0000 0.0000 0.2860
Tm1 0.0000 0.0000 0.0000

# 2
# Sm4DyY2Tm2 | the Alexandria database | PBE | optimized geometry
# calculated total energy = -5.02 eV per atom
# formation enthalpy at 0 K = 21 meV/atom
# N(E_F) = 12.823 states/eV/f.u.
data_Sm4DyY2Tm2
_chemical_formula_sum 'Sm8 Dy2 Y4 Tm4'
_symmetry_space_group_name_H-M 'C 1 2/m 1'
_symmetry_Int_Tables_number 12
_symmetry_space_group_name_Hall '-C 2y'
_cell_length_a 15.181
_cell_length_b 5.048
_cell_length_c 7.996
_cell_angle_alpha 90.00
_cell_angle_beta 108.40
_cell_angle_gamma 90.00
loop_
_atom_site_label
_atom_site_fract_x
_atom_site_fract_y
_atom_site_fract_z
Sm1 0.055 0.000 0.330
Sm2 0.222 0.500 0.331
Dy1 0.000 0.500 0.000
Y1 0.112 0.500 0.669
Tm1 0.167 0.000 0.000

# 3
# SmDy4Y2Tm2 | the Alexandria database | PBE | optimized geometry
# calculated total energy = -5.00 eV per atom
# formation enthalpy at 0 K = 3 meV/atom
# N(E_F) = 12.440 states/eV/f.u.
data_SmDy4Y2Tm2
_chemical_formula_sum 'Sm2 Dy8 Y4 Tm4'
_symmetry_space_group_name_H-M 'C 1 2/m 1'
_symmetry_Int_Tables_number 12
_symmetry_space_group_name_Hall '-C 2y'
_cell_length_a 18.574
_cell_length_b 3.579
_cell_length_c 9.505
_cell_angle_alpha 90.00
_cell_angle_beta 115.68
_cell_angle_gamma 90.00
loop_
_atom_site_label
_atom_site_fract_x
_atom_site_fract_y
_atom_site_fract_z
Sm1 0.000 0.000 0.000
Dy1 0.018 0.500 0.334
Dy2 0.185 0.000 0.334
Y1 0.148 0.000 0.667
Tm1 0.168 0.500 0.002

# 4
# SmDyY6Tm2 | the Alexandria database | PBE | optimized geometry
# calculated total energy = -5.58 eV per atom
# formation enthalpy at 0 K = 121 meV/atom
# N(E_F) = 15.973 states/eV/f.u.
data_SmDyY6Tm2
_chemical_formula_sum 'Sm4 Dy4 Y24 Tm8'
_symmetry_space_group_name_H-M 'C 1 2/c 1'
_symmetry_Int_Tables_number 15
_symmetry_space_group_name_Hall '-C 2yc'
_cell_length_a 9.151
_cell_length_b 14.967
_cell_length_c 9.531
_cell_angle_alpha 90.00
_cell_angle_beta 97.14
_cell_angle_gamma 90.00
loop_
_atom_site_label
_atom_site_fract_x
_atom_site_fract_y
_atom_site_fract_z
Sm1 0.000 0.027 0.250
Dy1 0.000 0.410 0.750
Y1 0.063 0.182 0.944
Y2 0.098 0.391 0.116
Y3 0.211 0.225 0.318
Tm1 0.250 0.051 0.549

# 5
# SmDy6YTm2 | the Alexandria database | PBE | optimized geometry
# calculated total energy = -4.65 eV per atom
# formation enthalpy at 0 K = 120 meV/atom
# N(E_F) = 14.694 states/eV/f.u.
data_SmDy6YTm2
_chemical_formula_sum 'Sm4 Dy24 Y4 Tm8'
_symmetry_space_group_name_H-M 'C 1 2/c 1'
_symmetry_Int_Tables_number 15
_symmetry_space_group_name_Hall '-C 2yc'
_cell_length_a 9.048
_cell_length_b 15.000
_cell_length_c 9.506
_cell_angle_alpha 90.00
_cell_angle_beta 97.04
_cell_angle_gamma 90.00
loop_
_atom_site_label
_atom_site_fract_x
_atom_site_fract_y
_atom_site_fract_z
Sm1 0.000 0.026 0.250
Dy1 0.063 0.184 0.944
Dy2 0.100 0.391 0.119
Dy3 0.208 0.227 0.318
Y1 0.000 0.409 0.750
Tm1 0.249 0.448 0.454

# 6
# SmDy2YTm6 | the Alexandria database | PBE | optimized geometry
# calculated total energy = -4.60 eV per atom
# formation enthalpy at 0 K = 121 meV/atom
# N(E_F) = 14.285 states/eV/f.u.
data_SmDy2YTm6
_chemical_formula_sum 'Sm4 Dy8 Y4 Tm24'
_symmetry_space_group_name_H-M 'C 1 2/c 1'
_symmetry_Int_Tables_number 15
_symmetry_space_group_name_Hall '-C 2yc'
_cell_length_a 8.955
_cell_length_b 14.939
_cell_length_c 9.473
_cell_angle_alpha 90.00
_cell_angle_beta 97.53
_cell_angle_gamma 90.00
loop_
_atom_site_label
_atom_site_fract_x
_atom_site_fract_y
_atom_site_fract_z
Sm1 0.000 0.024 0.250
Dy1 0.250 0.053 0.545
Y1 0.000 0.409 0.750
Tm1 0.063 0.188 0.943
Tm2 0.102 0.392 0.119
Tm3 0.204 0.226 0.317

# 7
# Sm2DyY2Tm2 | the Alexandria database | PBE | optimized geometry
# calculated total energy = -5.00 eV per atom
# formation enthalpy at 0 K = 133 meV/atom
# N(E_F) = 11.768 states/eV/f.u.
data_Sm2DyY2Tm2
_chemical_formula_sum 'Sm4 Dy2 Y4 Tm4'
_symmetry_space_group_name_H-M 'C 1 2/m 1'
_symmetry_Int_Tables_number 12
_symmetry_space_group_name_Hall '-C 2y'
_cell_length_a 16.798
_cell_length_b 3.480
_cell_length_c 8.705
_cell_angle_alpha 90.00
_cell_angle_beta 116.58
_cell_angle_gamma 90.00
loop_
_atom_site_label
_atom_site_fract_x
_atom_site_fract_y
_atom_site_fract_z
Sm1 0.137 0.000 0.407
Dy1 0.000 0.500 0.000
Y1 0.079 0.500 0.704
Tm1 0.222 0.500 0.145

# 8
# SmDy6Y2Tm3 | the Alexandria database | PBE | optimized geometry
# calculated total energy = -4.87 eV per atom
# formation enthalpy at 0 K = 21 meV/atom
# N(E_F) = 16.296 states/eV/f.u.
data_SmDy6Y2Tm3
_chemical_formula_sum 'Sm2 Dy12 Y4 Tm6'
_symmetry_space_group_name_H-M 'C 1 2/m 1'
_symmetry_Int_Tables_number 12
_symmetry_space_group_name_Hall '-C 2y'
_cell_length_a 6.134
_cell_length_b 10.612
_cell_length_c 11.729
_cell_angle_alpha 90.00
_cell_angle_beta 99.99
_cell_angle_gamma 90.00
loop_
_atom_site_label
_atom_site_fract_x
_atom_site_fract_y
_atom_site_fract_z
Sm1 0.000 0.000 0.000
Dy1 0.248 0.000 0.747
Dy2 0.249 0.334 0.747
Y1 0.000 0.333 0.000
Tm1 0.000 0.167 0.500
Tm2 0.000 0.500 0.500

# 9
# SmDyY2Tm5 | the Alexandria database | PBE | optimized geometry
# calculated total energy = -4.80 eV per atom
# formation enthalpy at 0 K = 158 meV/atom
# N(E_F) = 14.280 states/eV/f.u.
data_SmDyY2Tm5
_chemical_formula_sum 'Sm4 Dy4 Y8 Tm20'
_symmetry_space_group_name_H-M 'C m c 21'
_symmetry_Int_Tables_number 36
_symmetry_space_group_name_Hall 'C 2c -2'
_cell_length_a 5.568
_cell_length_b 19.566
_cell_length_c 10.551
_cell_angle_alpha 90.00
_cell_angle_beta 90.00
_cell_angle_gamma 90.00
loop_
_atom_site_label
_atom_site_fract_x
_atom_site_fract_y
_atom_site_fract_z
Sm1 0.000 0.083 0.000
Dy1 0.000 0.298 0.556
Y1 0.000 0.387 0.864
Y2 0.000 0.390 0.279
Tm1 0.000 0.021 0.281
Tm2 0.000 0.109 0.566
Tm3 0.000 0.201 0.254
Tm4 0.000 0.217 0.853
Tm5 0.000 0.481 0.571

# 10
# Sm2DyY6Tm | the Alexandria database | PBE | optimized geometry
# calculated total energy = -5.62 eV per atom
# formation enthalpy at 0 K = 113 meV/atom
# N(E_F) = 14.120 states/eV/f.u.
data_Sm2DyY6Tm
_chemical_formula_sum 'Sm8 Dy4 Y24 Tm4'
_symmetry_space_group_name_H-M 'C 1 2/c 1'
_symmetry_Int_Tables_number 15
_symmetry_space_group_name_Hall '-C 2yc'
_cell_length_a 9.070
_cell_length_b 15.026
_cell_length_c 9.704
_cell_angle_alpha 90.00
_cell_angle_beta 99.22
_cell_angle_gamma 90.00
loop_
_atom_site_label
_atom_site_fract_x
_atom_site_fract_y
_atom_site_fract_z
Sm1 0.246 0.051 0.045
Dy1 0.000 0.020 0.750
Y1 0.064 0.188 0.443
Y2 0.102 0.395 0.618
Y3 0.205 0.222 0.814
Tm1 0.000 0.407 0.250

# 11
# Sm3Dy2Y6Tm | the Alexandria database | PBE | optimized geometry
# calculated total energy = -5.53 eV per atom
# formation enthalpy at 0 K = 20 meV/atom
# N(E_F) = 16.942 states/eV/f.u.
data_Sm3Dy2Y6Tm
_chemical_formula_sum 'Sm6 Dy4 Y12 Tm2'
_symmetry_space_group_name_H-M 'C 1 2/m 1'
_symmetry_Int_Tables_number 12
_symmetry_space_group_name_Hall '-C 2y'
_cell_length_a 6.194
_cell_length_b 10.720
_cell_length_c 11.828
_cell_angle_alpha 90.00
_cell_angle_beta 100.01
_cell_angle_gamma 90.00
loop_
_atom_site_label
_atom_site_fract_x
_atom_site_fract_y
_atom_site_fract_z
Sm1 0.000 0.000 0.000
Sm2 0.000 0.333 0.000
Dy1 0.000 0.167 0.500
Y1 0.249 0.000 0.747
Y2 0.249 0.333 0.747
Tm1 0.000 0.500 0.500

# 12
# Sm2Dy3Y6Tm | the Alexandria database | PBE | optimized geometry
# calculated total energy = -5.52 eV per atom
# formation enthalpy at 0 K = 20 meV/atom
# N(E_F) = 16.692 states/eV/f.u.
data_Sm2Dy3Y6Tm
_chemical_formula_sum 'Sm4 Dy6 Y12 Tm2'
_symmetry_space_group_name_H-M 'C 1 2/m 1'
_symmetry_Int_Tables_number 12
_symmetry_space_group_name_Hall '-C 2y'
_cell_length_a 6.178
_cell_length_b 10.691
_cell_length_c 11.817
_cell_angle_alpha 90.00
_cell_angle_beta 99.98
_cell_angle_gamma 90.00
loop_
_atom_site_label
_atom_site_fract_x
_atom_site_fract_y
_atom_site_fract_z
Sm1 0.000 0.167 0.000
Dy1 0.000 0.000 0.500
Dy2 0.000 0.334 0.500
Y1 0.249 0.500 0.749
Y2 0.250 0.166 0.749
Tm1 0.000 0.500 0.000

# 13
# Sm2DyYTm | the Alexandria database | PBE | optimized geometry
# calculated total energy = -4.59 eV per atom
# formation enthalpy at 0 K = 402 meV/atom
# N(E_F) = 7.023 states/eV/f.u.
data_Sm2DyYTm
_chemical_formula_sum 'Sm8 Dy4 Y4 Tm4'
_symmetry_space_group_name_H-M 'C m c m'
_symmetry_Int_Tables_number 63
_symmetry_space_group_name_Hall '-C 2c 2'
_cell_length_a 8.371
_cell_length_b 11.512
_cell_length_c 7.222
_cell_angle_alpha 90.00
_cell_angle_beta 90.00
_cell_angle_gamma 90.00
loop_
_atom_site_label
_atom_site_fract_x
_atom_site_fract_y
_atom_site_fract_z
Sm1 0.194 0.000 0.000
Dy1 0.000 0.217 0.250
Y1 0.000 0.238 0.750
Tm1 0.000 0.483 0.250

# 14
# SmDy2Y3Tm6 | the Alexandria database | PBE | optimized geometry
# calculated total energy = -4.99 eV per atom
# formation enthalpy at 0 K = 26 meV/atom
# N(E_F) = 17.289 states/eV/f.u.
data_SmDy2Y3Tm6
_chemical_formula_sum 'Sm2 Dy4 Y6 Tm12'
_symmetry_space_group_name_H-M 'C 1 2/m 1'
_symmetry_Int_Tables_number 12
_symmetry_space_group_name_Hall '-C 2y'
_cell_length_a 6.119
_cell_length_b 10.585
_cell_length_c 11.684
_cell_angle_alpha 90.00
_cell_angle_beta 100.03
_cell_angle_gamma 90.00
loop_
_atom_site_label
_atom_site_fract_x
_atom_site_fract_y
_atom_site_fract_z
Sm1 0.000 0.000 0.000
Dy1 0.000 0.333 0.000
Y1 0.000 0.167 0.500
Y2 0.000 0.500 0.500
Tm1 0.249 0.333 0.750
Tm2 0.250 0.000 0.750

# 15
# SmDy6Y2Tm | the Alexandria database | PBE | optimized geometry
# calculated total energy = -4.85 eV per atom
# formation enthalpy at 0 K = 124 meV/atom
# N(E_F) = 14.451 states/eV/f.u.
data_SmDy6Y2Tm
_chemical_formula_sum 'Sm4 Dy24 Y8 Tm4'
_symmetry_space_group_name_H-M 'C 1 2/c 1'
_symmetry_Int_Tables_number 15
_symmetry_space_group_name_Hall '-C 2yc'
_cell_length_a 9.118
_cell_length_b 15.015
_cell_length_c 9.468
_cell_angle_alpha 90.00
_cell_angle_beta 96.44
_cell_angle_gamma 90.00
loop_
_atom_site_label
_atom_site_fract_x
_atom_site_fract_y
_atom_site_fract_z
Sm1 0.000 0.027 0.250
Dy1 0.061 0.185 0.943
Dy2 0.098 0.389 0.117
Dy3 0.210 0.225 0.315
Y1 0.247 0.449 0.453
Tm1 0.000 0.410 0.750

# 16
# Sm6Dy2YTm | the Alexandria database | PBE | optimized geometry
# calculated total energy = -4.73 eV per atom
# formation enthalpy at 0 K = 115 meV/atom
# N(E_F) = 13.435 states/eV/f.u.
data_Sm6Dy2YTm
_chemical_formula_sum 'Sm24 Dy8 Y4 Tm4'
_symmetry_space_group_name_H-M 'C 1 2/c 1'
_symmetry_Int_Tables_number 15
_symmetry_space_group_name_Hall '-C 2yc'
_cell_length_a 9.148
_cell_length_b 15.263
_cell_length_c 9.595
_cell_angle_alpha 90.00
_cell_angle_beta 97.27
_cell_angle_gamma 90.00
loop_
_atom_site_label
_atom_site_fract_x
_atom_site_fract_y
_atom_site_fract_z
Sm1 0.059 0.182 0.446
Sm2 0.103 0.392 0.619
Sm3 0.210 0.223 0.812
Dy1 0.248 0.448 0.956
Y1 0.000 0.025 0.750
Tm1 0.000 0.411 0.250

# 17
# Sm3DyYTm | the Alexandria database | PBE | optimized geometry
# calculated total energy = -4.76 eV per atom
# formation enthalpy at 0 K = 184 meV/atom
# N(E_F) = 8.901 states/eV/f.u.
data_Sm3DyYTm
_chemical_formula_sum 'Sm12 Dy4 Y4 Tm4'
_symmetry_space_group_name_H-M 'C 1 2/m 1'
_symmetry_Int_Tables_number 12
_symmetry_space_group_name_Hall '-C 2y'
_cell_length_a 22.125
_cell_length_b 5.549
_cell_length_c 6.719
_cell_angle_alpha 90.00
_cell_angle_beta 99.05
_cell_angle_gamma 90.00
loop_
_atom_site_label
_atom_site_fract_x
_atom_site_fract_y
_atom_site_fract_z
Sm1 0.024 0.000 0.265
Sm2 0.163 0.500 0.265
Sm3 0.225 0.500 0.811
Dy1 0.072 0.500 0.676
Y1 0.167 0.000 0.525
Tm1 0.132 0.000 0.967

# 18
# SmDy2Y2Tm | the Alexandria database | PBE | optimized geometry
# calculated total energy = -4.95 eV per atom
# formation enthalpy at 0 K = 268 meV/atom
# N(E_F) = 9.134 states/eV/f.u.
data_SmDy2Y2Tm
_chemical_formula_sum 'Sm2 Dy4 Y4 Tm2'
_symmetry_space_group_name_H-M 'P n n m'
_symmetry_Int_Tables_number 58
_symmetry_space_group_name_Hall '-P 2 2n'
_cell_length_a 6.576
_cell_length_b 17.694
_cell_length_c 3.380
_cell_angle_alpha 90.00
_cell_angle_beta 90.00
_cell_angle_gamma 90.00
loop_
_atom_site_label
_atom_site_fract_x
_atom_site_fract_y
_atom_site_fract_z
Sm1 0.000 0.000 0.000
Dy1 0.233 0.147 0.500
Y1 0.234 0.317 0.000
Tm1 0.000 0.500 0.000

# 19
# Sm5DyY2Tm | the Alexandria database | PBE | optimized geometry
# calculated total energy = -4.92 eV per atom
# formation enthalpy at 0 K = 146 meV/atom
# N(E_F) = 14.748 states/eV/f.u.
data_Sm5DyY2Tm
_chemical_formula_sum 'Sm20 Dy4 Y8 Tm4'
_symmetry_space_group_name_H-M 'C m c 21'
_symmetry_Int_Tables_number 36
_symmetry_space_group_name_Hall 'C 2c -2'
_cell_length_a 5.651
_cell_length_b 20.155
_cell_length_c 10.625
_cell_angle_alpha 90.00
_cell_angle_beta 90.00
_cell_angle_gamma 90.00
loop_
_atom_site_label
_atom_site_fract_x
_atom_site_fract_y
_atom_site_fract_z
Sm1 0.000 0.018 0.000
Sm2 0.000 0.281 0.293
Sm3 0.000 0.298 0.687
Sm4 0.000 0.388 0.002
Sm5 0.000 0.481 0.723
Dy1 0.000 0.410 0.441
Y1 0.000 0.112 0.717
Y2 0.000 0.115 0.296
Tm1 0.000 0.200 0.991